# 1
This record from Alexandria describes a relaxed structure of ReSi2. The functional is PBE-GGA.

M_tot = 0.0000 μB per atom
formation energy from raw total energies = -0.3 eV per formula unit

Lattice parameters (Å, degrees): 4.8918 4.8918 4.8918 106.03 106.03 116.59
Last column: nearest neighbours and their distance in Å.
Sites, in units of the cell vectors:
Si1 0.8566 0.6434 0.5000  1 Si 2.39, 4 Re 2.60
Re1 0.2500 0.2500 0.0000  2 Re 2.57, 8 Si 2.60
Si2 0.1434 0.3566 0.5000  1 Si 2.39, 4 Re 2.60
Si3 0.3566 0.8566 0.2132  1 Si 2.39, 4 Re 2.60
Si4 0.6434 0.1434 0.7868  1 Si 2.39, 4 Re 2.60
Re2 0.7500 0.7500 0.0000  2 Re 2.57, 8 Si 2.60



# 2
This record from Alexandria describes a relaxed structure of Re3Si. The functional is PBE-GGA.

excess energy over the best structure of this formula in the dataset = 251 meV per atom
M_tot = 0.0000 μB per atom
formation energy from raw total energies = 0.6 eV per formula unit

Lattice parameters (Å, degrees): 4.3325 4.3325 4.3325 60.00 60.00 60.00
Last column: nearest neighbours and their distance in Å.
Sites, in units of the cell vectors:
Si1 0.7500 0.7500 0.7500  8 Re 2.65
Re1 0.0000 0.0000 0.0000  4 Re 2.65, 4 Si 2.65
Re2 0.5000 0.5000 0.5000  4 Si 2.65, 4 Re 2.65
Re3 0.2500 0.2500 0.2500  8 Re 2.65



# 3
This record from Alexandria describes a relaxed structure of ReSi3. The functional is PBE-GGA.

M_tot = 0.0000 μB per atom
formation energy from raw total energies = 1.5 eV per formula unit

Lattice parameters (Å, degrees): 4.7186 4.7186 4.7186 115.33 115.33 115.33
Last column: nearest neighbours and their distance in Å.
Sites, in units of the cell vectors:
Si1 0.5000 0.0000 0.5000  4 Si 2.52, 2 Re 2.52
Re1 0.0000 0.0000 0.0000  6 Si 2.52
Si2 0.0000 0.5000 0.5000  2 Re 2.52, 4 Si 2.52
Si3 0.5000 0.5000 0.0000  4 Si 2.52, 2 Re 2.52



# 4
This record from Alexandria describes a relaxed structure of Re2Si. The functional is PBE-GGA.

excess energy over the best structure of this formula in the dataset = 35 meV per atom
M_tot = 0.0000 μB per atom
formation energy from raw total energies = -0.7 eV per formula unit

Lattice parameters (Å, degrees): 2.9345 2.9345 5.2244 106.31 106.31 90.00
Last column: nearest neighbours and their distance in Å.
Sites, in units of the cell vectors:
Re1 0.3422 0.3422 0.6844  4 Si 2.57, 4 Re 2.73
Re2 0.6578 0.6578 0.3156  4 Si 2.57, 4 Re 2.73
Si1 0.0000 0.0000 0.0000  8 Re 2.57



# 5
This record from Alexandria describes a relaxed structure of ReSi4. The functional is PBE-GGA.

excess energy over the best structure of this formula in the dataset = 0 meV per atom
M_tot = 0.0000 μB per atom
formation energy from raw total energies = 2.2 eV per formula unit

Lattice parameters (Å, degrees): 4.8301 4.8301 4.8301 109.47 109.47 109.47
Last column: nearest neighbours and their distance in Å.
Sites, in units of the cell vectors:
Re1 0.0000 0.0000 0.0000  8 Si 2.42
Si1 0.0000 0.5000 0.0000  2 Re 2.42
Si2 0.5000 0.5000 0.5000  2 Re 2.42
Si3 0.0000 0.0000 0.5000  2 Re 2.42
Si4 0.5000 0.0000 0.0000  2 Re 2.42



# 6
This record from Alexandria describes a relaxed structure of ReSi3. The functional is PBE-GGA.

M_tot = 0.0000 μB per atom
formation energy from raw total energies = 0.2 eV per formula unit

Lattice parameters (Å, degrees): 4.4895 4.4895 4.3007 85.99 85.99 39.27
Last column: nearest neighbours and their distance in Å.
Sites, in units of the cell vectors:
Si1 0.5000 0.5000 0.5000  2 Si 2.37, 4 Re 2.63
Si2 0.2633 0.2633 0.2394  3 Si 2.37-2.58, 1 Re 2.52
Re1 0.0000 0.0000 0.0000  10 Si 2.52-2.65
Si3 0.7367 0.7367 0.7606  3 Si 2.37-2.58, 1 Re 2.52



# 7
This record from Alexandria describes a relaxed structure of Re3Si. The functional is PBE-GGA.

excess energy over the best structure of this formula in the dataset = 133 meV per atom
M_tot = 0.0000 μB per atom
formation energy from raw total energies = 0.1 eV per formula unit

Lattice parameters (Å, degrees): 2.8374 3.9759 5.1322 90.00 90.00 90.00
Last column: nearest neighbours and their distance in Å.
Sites, in units of the cell vectors:
Re1 0.0000 0.0000 0.5000  2 Si 2.57, 10 Re 2.78-2.84
Re2 0.5000 0.5000 0.2409  2 Re 2.47-2.66, 4 Si 2.74
Re3 0.5000 0.5000 0.7591  2 Re 2.47-2.66, 4 Si 2.74
Si1 0.0000 0.0000 0.0000  10 Re 2.57-2.74, 2 Si 2.84



# 8
This record from Alexandria describes a relaxed structure of Re2Si. The functional is PBE-GGA.

excess energy over the best structure of this formula in the dataset = 273 meV per atom
M_tot = 0.0000 μB per atom
formation energy from raw total energies = 0.1 eV per formula unit

Lattice parameters (Å, degrees): 4.5542 4.5542 4.5542 143.50 129.70 63.73
Last column: nearest neighbours and their distance in Å.
Sites, in units of the cell vectors:
Re1 0.6650 0.6650 0.0000  7 Re 2.55-2.85, 5 Si 2.59-2.72
Si1 0.0000 0.0000 0.0000  10 Re 2.59-2.72, 2 Si 2.85
Re2 0.3350 0.3350 0.0000  7 Re 2.55-2.85, 5 Si 2.59-2.72



# 9
This record from Alexandria describes a relaxed structure of Re3Si. The functional is PBE-GGA.

excess energy over the best structure of this formula in the dataset = 337 meV per atom
M_tot = 0.0000 μB per atom
formation energy from raw total energies = 0.9 eV per formula unit

Lattice parameters (Å, degrees): 8.1436 8.1436 8.1436 152.41 152.41 39.42
Last column: nearest neighbours and their distance in Å.
Sites, in units of the cell vectors:
Re1 0.5000 0.0000 0.5000  4 Si 2.68, 8 Re 2.74-2.75
Re2 0.0000 0.5000 0.5000  4 Si 2.68, 8 Re 2.74-2.75
Re3 0.1265 0.1265 0.0000  8 Re 2.71-2.74, 4 Si 2.75
Re4 0.7500 0.2500 0.5000  8 Re 2.71-2.75, 4 Si 2.78
Si1 0.3795 0.3795 0.0000  12 Re 2.68-2.78
Re5 0.2500 0.7500 0.5000  8 Re 2.71-2.75, 4 Si 2.78
Si2 0.6205 0.6205 0.0000  12 Re 2.68-2.78
Re6 0.8735 0.8735 0.0000  8 Re 2.71-2.74, 4 Si 2.75



# 10
This record from Alexandria describes a relaxed structure of Re3Si5. The functional is PBE-GGA.

excess energy over the best structure of this formula in the dataset = 0 meV per atom
M_tot = 0.0000 μB per atom
formation energy from raw total energies = -0.8 eV per formula unit

Lattice parameters (Å, degrees): 6.8708 6.8708 6.9445 77.47 77.47 125.71
Last column: nearest neighbours and their distance in Å.
Sites, in units of the cell vectors:
Si1 0.2202 0.3814 0.2853  5 Re 2.45-2.64, 2 Si 2.52-2.62
Si2 0.8492 0.3493 0.5017  4 Si 2.52-2.56, 4 Re 2.57-2.75
Re1 0.6768 0.6787 0.0000  8 Si 2.45-2.64
Si3 0.5072 0.2250 0.1565  5 Re 2.42-2.60, 2 Si 2.55-2.66
Si4 0.1574 0.8641 0.8505  5 Re 2.50-2.58, 3 Si 2.53-2.78
Si5 0.7250 0.0073 0.1565  5 Re 2.42-2.60, 2 Si 2.55-2.66
Re2 0.1787 0.1768 0.0000  8 Si 2.45-2.64
Re3 0.9184 0.4184 0.8386  8 Si 2.45-2.59
Si6 0.3469 0.8470 0.5013  4 Si 2.55, 4 Re 2.59-2.70
Re4 0.4305 0.2831 0.4989  8 Si 2.46-2.70
Si7 0.0064 0.1591 0.7139  5 Re 2.45-2.54, 2 Si 2.56-2.62
Re5 0.7831 0.9305 0.4989  8 Si 2.46-2.70
Si8 0.3641 0.6574 0.8505  5 Re 2.50-2.58, 3 Si 2.53-2.78
Si9 0.6591 0.5064 0.7139  5 Re 2.45-2.54, 2 Si 2.56-2.62
Si10 0.8814 0.7202 0.2853  5 Re 2.45-2.64, 2 Si 2.52-2.62
Re6 0.3022 0.8022 0.1419  7 Si 2.42-2.64



# 11
This record from Alexandria describes a relaxed structure of Re3Si2. The functional is PBE-GGA.

excess energy over the best structure of this formula in the dataset = 287 meV per atom
M_tot = 0.0000 μB per atom
formation energy from raw total energies = 1.3 eV per formula unit

Lattice parameters (Å, degrees): 4.1103 4.1103 5.1223 90.00 90.00 120.00
Last column: nearest neighbours and their distance in Å.
Sites, in units of the cell vectors:
Re1 0.0000 0.0000 0.0000  6 Si 2.56
Si1 0.3333 0.6667 0.8116  8 Re 2.47-2.63
Re2 0.3333 0.6667 0.3245  5 Si 2.47-2.63
Si2 0.6667 0.3333 0.1884  8 Re 2.47-2.63
Re3 0.6667 0.3333 0.6755  5 Si 2.47-2.63



# 12
This record from Alexandria describes a relaxed structure of Re2Si. The functional is PBE-GGA.

excess energy over the best structure of this formula in the dataset = 909 meV per atom
M_tot = 0.0000 μB per atom
formation energy from raw total energies = 2.0 eV per formula unit

Lattice parameters (Å, degrees): 5.1399 5.1399 8.4356 90.00 90.00 120.00
Last column: nearest neighbours and their distance in Å.
Sites, in units of the cell vectors:
Re1 0.3484 0.1742 0.2500  6 Re 2.45-2.69
Re2 0.0000 0.0000 0.5000  6 Re 2.62
Si1 0.3333 0.6667 0.4217  1 Si 2.90, 12 Re 2.95-3.11
Si2 0.6667 0.3333 0.9217  1 Si 2.90, 12 Re 2.95-3.11
Re3 0.8258 0.6516 0.2500  6 Re 2.45-2.69
Si3 0.3333 0.6667 0.0783  1 Si 2.90, 12 Re 2.95-3.11
Re4 0.8258 0.1742 0.2500  6 Re 2.45-2.69
Re5 0.6516 0.8258 0.7500  6 Re 2.45-2.69
Re6 0.0000 0.0000 0.0000  6 Re 2.62
Si4 0.6667 0.3333 0.5783  1 Si 2.90, 12 Re 2.95-3.11
Re7 0.1742 0.3484 0.7500  6 Re 2.45-2.69
Re8 0.1742 0.8258 0.7500  6 Re 2.45-2.69



Ordered energy results: -47.21, -42.17, -27.20, -30.98, -31.98, -28.51, -42.64, -30.27, -83.66, -130.43, -46.93, -113.44; unit eV for the cell shown.
Ordered DOS(E_F) results: 1.07, 3.40, 2.82, 1.10, 3.65, 1.55, 2.39, 1.75, 4.94, 1.34, 5.76, 1.94; unit states/eV/f.u..